Record 1
This record from Alexandria describes Na2NpAlS5 after structural relaxation. The functional is GGA-PBE.

Cell and atoms, written as CIF:
```
data_Na2NpAlS5
_chemical_formula_sum 'Na4 Np2 Al2 S10'
_cell_length_a 3.903
_cell_length_b 8.654
_cell_length_c 13.296
_cell_angle_alpha 90.00
_cell_angle_beta 90.00
_cell_angle_gamma 103.03
_symmetry_space_group_name_H-M 'P 1'
_symmetry_Int_Tables_number 1
loop_
_symmetry_equiv_pos_as_xyz
'x,y,z'
loop_
_atom_site_label
_atom_site_type_symbol
_atom_site_fract_x
_atom_site_fract_y
_atom_site_fract_z
Na1 Na 0.893 0.785 0.838
Na2 Na 0.085 0.171 0.664
Na3 Na 0.107 0.215 0.338
Na4 Na 0.915 0.829 0.164
Np1 Np 0.776 0.552 0.533
Np2 Np 0.224 0.448 0.033
Al1 Al 0.573 0.146 0.919
Al2 Al 0.427 0.854 0.419
S1 S 0.368 0.736 0.010
S2 S 0.709 0.419 0.896
S3 S 0.506 0.012 0.781
S4 S 0.278 0.556 0.662
S5 S 0.938 0.875 0.520
S6 S 0.632 0.264 0.510
S7 S 0.291 0.581 0.396
S8 S 0.494 0.988 0.281
S9 S 0.722 0.444 0.162
S10 S 0.062 0.125 0.020
```

Computed properties:
E_form (uncorrected), eV per atom: -1.11
SG: Cmc2_1, No. 36
VASP energy, eV/atom: -5.55
DOS(E_F), states/eV per cell: 9.20
Total moment, μB/atom: 0.222

Record 2
This record from Alexandria describes ZnRe2W after structural relaxation. The functional is GGA-PBE.

Cell and atoms, written as CIF:
```
data_ZnRe2W
_chemical_formula_sum 'Zn1 Re2 W1'
_cell_length_a 9.160
_cell_length_b 9.160
_cell_length_c 9.160
_cell_angle_alpha 17.56
_cell_angle_beta 17.56
_cell_angle_gamma 17.56
_symmetry_space_group_name_H-M 'P 1'
_symmetry_Int_Tables_number 1
loop_
_symmetry_equiv_pos_as_xyz
'x,y,z'
loop_
_atom_site_label
_atom_site_type_symbol
_atom_site_fract_x
_atom_site_fract_y
_atom_site_fract_z
Re1 Re 0.000 0.000 0.000
Re2 Re 0.500 0.500 0.500
W1 W 0.250 0.250 0.250
Zn1 Zn 0.750 0.750 0.750
```

Computed properties:
Formation enthalpy at 0 K, eV/atom: 0.23
SG: R-3m, No. 166
VASP energy, eV/atom: -9.55
DOS(E_F), states/eV per cell: 4.29
Total moment, μB/atom: 0.000

Record 3
This record from Alexandria describes Sc2AgCl after structural relaxation. The functional is GGA-PBE.

Cell and atoms, written as CIF:
```
data_Sc2AgCl
_chemical_formula_sum 'Sc2 Ag1 Cl1'
_cell_length_a 4.876
_cell_length_b 4.876
_cell_length_c 4.876
_cell_angle_alpha 60.00
_cell_angle_beta 60.00
_cell_angle_gamma 60.00
_symmetry_space_group_name_H-M 'P 1'
_symmetry_Int_Tables_number 1
loop_
_symmetry_equiv_pos_as_xyz
'x,y,z'
loop_
_atom_site_label
_atom_site_type_symbol
_atom_site_fract_x
_atom_site_fract_y
_atom_site_fract_z
Sc1 Sc 0.250 0.250 0.250
Sc2 Sc 0.750 0.750 0.750
Ag1 Ag 0.500 0.500 0.500
Cl1 Cl 0.000 0.000 0.000
```

Computed properties:
E_form (uncorrected), eV per atom: -0.32
Excess energy over the best structure of this formula in the dataset, eV per atom: 0.3441
SG: Fm-3m, No. 225
VASP energy, eV/atom: -4.66
DOS(E_F), states/eV per cell: 6.60
Total moment, μB/atom: 0.333

Record 4
This record from Alexandria describes CsS2Cl4 after structural relaxation. The functional is GGA-PBE.

Cell and atoms, written as CIF:
```
data_CsS2Cl4
_chemical_formula_sum 'Cs2 S4 Cl8'
_cell_length_a 11.650
_cell_length_b 8.197
_cell_length_c 6.679
_cell_angle_alpha 117.36
_cell_angle_beta 71.72
_cell_angle_gamma 109.71
_symmetry_space_group_name_H-M 'P 1'
_symmetry_Int_Tables_number 1
loop_
_symmetry_equiv_pos_as_xyz
'x,y,z'
loop_
_atom_site_label
_atom_site_type_symbol
_atom_site_fract_x
_atom_site_fract_y
_atom_site_fract_z
Cs1 Cs 0.558 0.863 0.786
Cs2 Cs 0.981 0.028 0.050
S1 S 0.775 0.334 0.798
S2 S 0.290 0.661 0.342
S3 S 0.169 0.825 0.389
S4 S 0.743 0.345 0.538
Cl1 Cl 0.285 0.930 0.728
Cl2 Cl 0.082 0.668 0.109
Cl3 Cl 0.659 0.988 0.305
Cl4 Cl 0.615 0.373 0.070
Cl5 Cl 0.310 0.484 0.986
Cl6 Cl 0.812 0.663 0.608
Cl7 Cl 0.041 0.149 0.582
Cl8 Cl 0.180 0.440 0.461
```

Computed properties:
E_form (uncorrected), eV per atom: -0.64
SG: P1, No. 1
VASP energy, eV/atom: -2.99
DOS(E_F), states/eV per cell: 0.00
Total moment, μB/atom: 0.000

Record 5
This record from Alexandria describes MgSi2Os after structural relaxation. The functional is GGA-PBE.

Cell and atoms, written as CIF:
```
data_MgSi2Os
_chemical_formula_sum 'Mg2 Si4 Os2'
_cell_length_a 5.892
_cell_length_b 3.136
_cell_length_c 8.038
_cell_angle_alpha 90.00
_cell_angle_beta 124.20
_cell_angle_gamma 90.00
_symmetry_space_group_name_H-M 'P 1'
_symmetry_Int_Tables_number 1
loop_
_symmetry_equiv_pos_as_xyz
'x,y,z'
loop_
_atom_site_label
_atom_site_type_symbol
_atom_site_fract_x
_atom_site_fract_y
_atom_site_fract_z
Mg1 Mg 0.213 0.000 0.988
Mg2 Mg 0.213 0.500 0.488
Si1 Si 0.481 0.000 0.378
Si2 Si 0.481 0.500 0.878
Si3 Si 0.900 0.000 0.135
Si4 Si 0.900 0.500 0.635
Os1 Os 0.673 0.000 0.747
Os2 Os 0.673 0.500 0.247
```

Computed properties:
E_form (uncorrected), eV per atom: -0.22
SG: Cm, No. 8
VASP energy, eV/atom: -6.14
DOS(E_F), states/eV per cell: 1.36
Total moment, μB/atom: 0.000

Record 6
This record from Alexandria describes InNiBPd2 after structural relaxation. The functional is GGA-PBE.

Cell and atoms, written as CIF:
```
data_InNiBPd2
_chemical_formula_sum 'In1 Ni1 B1 Pd2'
_cell_length_a 4.248
_cell_length_b 4.248
_cell_length_c 3.929
_cell_angle_alpha 90.00
_cell_angle_beta 90.00
_cell_angle_gamma 90.00
_symmetry_space_group_name_H-M 'P 1'
_symmetry_Int_Tables_number 1
loop_
_symmetry_equiv_pos_as_xyz
'x,y,z'
loop_
_atom_site_label
_atom_site_type_symbol
_atom_site_fract_x
_atom_site_fract_y
_atom_site_fract_z
Ni1 Ni 0.000 0.000 0.500
B1 B 0.000 0.000 0.000
Pd1 Pd 0.000 0.500 0.000
Pd2 Pd 0.500 0.000 0.000
In1 In 0.500 0.500 0.500
```

Computed properties:
Formation enthalpy at 0 K, eV/atom: -0.26
SG: P4/mmm, No. 123
VASP energy, eV/atom: -5.37
DOS(E_F), states/eV per cell: 3.09
Total moment, μB/atom: 0.000

Record 7
This record from Alexandria describes Nd4GeBiSe2 after structural relaxation. The functional is GGA-PBE.

Cell and atoms, written as CIF:
```
data_Nd4GeBiSe2
_chemical_formula_sum 'Nd4 Ge1 Bi1 Se2'
_cell_length_a 4.362
_cell_length_b 7.502
_cell_length_c 7.613
_cell_angle_alpha 70.51
_cell_angle_beta 90.00
_cell_angle_gamma 90.00
_symmetry_space_group_name_H-M 'P 1'
_symmetry_Int_Tables_number 1
loop_
_symmetry_equiv_pos_as_xyz
'x,y,z'
loop_
_atom_site_label
_atom_site_type_symbol
_atom_site_fract_x
_atom_site_fract_y
_atom_site_fract_z
Nd1 Nd 0.000 0.754 0.734
Nd2 Nd 0.000 0.246 0.266
Nd3 Nd 0.500 0.746 0.263
Nd4 Nd 0.500 0.254 0.737
Ge1 Ge 0.000 0.500 0.500
Bi1 Bi 0.500 0.500 0.000
Se1 Se 0.000 0.000 0.000
Se2 Se 0.500 0.000 0.500
```

Computed properties:
E_form (uncorrected), eV per atom: -1.39
SG: P2/m, No. 10
VASP energy, eV/atom: -5.71
DOS(E_F), states/eV per cell: 1.77
Total moment, μB/atom: 0.000

Record 8
This record from Alexandria describes KLiCa after structural relaxation. The functional is GGA-PBE.

Cell and atoms, written as CIF:
```
data_KLiCa
_chemical_formula_sum 'K1 Li1 Ca1'
_cell_length_a 6.089
_cell_length_b 6.089
_cell_length_c 6.089
_cell_angle_alpha 60.00
_cell_angle_beta 60.00
_cell_angle_gamma 60.00
_symmetry_space_group_name_H-M 'P 1'
_symmetry_Int_Tables_number 1
loop_
_symmetry_equiv_pos_as_xyz
'x,y,z'
loop_
_atom_site_label
_atom_site_type_symbol
_atom_site_fract_x
_atom_site_fract_y
_atom_site_fract_z
Ca1 Ca 0.500 0.500 0.500
K1 K 0.750 0.750 0.750
Li1 Li 0.000 0.000 0.000
```

Computed properties:
Formation enthalpy at 0 K, eV/atom: 0.54
Excess energy over the best structure of this formula in the dataset, eV per atom: 0.4714
SG: F-43m, No. 216
VASP energy, eV/atom: -1.13
DOS(E_F), states/eV per cell: 2.79
Total moment, μB/atom: 0.000

Number 1: V 24.3 Å³/atom. Number 2: V 15.3 Å³/atom. Number 3: V 20.5 Å³/atom. Number 4: V 37.4 Å³/atom. Number 5: V 15.4 Å³/atom. Number 6: V 14.2 Å³/atom. Number 7: V 29.4 Å³/atom. Number 8: V 53.2 Å³/atom.